The following is a PBE calculation of an optimized crystal structure of Pa2CO2, from the Alexandria database.

Computed properties:
Space group: No. 164
Uncorrected formation energy, kJ/mol of atoms: -219.3
Raw total energy, eV per atom: -9.899

Cell and atoms, written as POSCAR:
```
Pa2CO2
1.0
3.6873 0.0000 0.0000
-1.8437 3.1933 0.0000
0.0000 0.0000 6.2868
Pa C O
2 1 2
Cartesian
0.0000 2.1289 1.6837 Pa
1.8437 1.0644 4.6032 Pa
0.0000 0.0000 3.1434 C
0.0000 2.1289 5.4967 O
1.8437 1.0644 0.7901 O
```



The following is a PBE calculation of an optimized crystal structure of LaHo3, from the Alexandria database.

Computed properties:
Space group: No. 225
Formation energy, eV/atom: 0.12
Raw total energy, eV per atom: -4.544

Cell and atoms, written as POSCAR:
```
LaHo3
1.0
0.0000 4.0426 4.0426
4.0426 0.0000 4.0426
4.0426 4.0426 0.0000
La Ho
1 3
Cartesian
0.0000 0.0000 0.0000 La
2.0213 2.0213 2.0213 Ho
4.0426 4.0426 4.0426 Ho
6.0640 6.0640 6.0640 Ho
```



The following is a PBE calculation of an optimized crystal structure of CeZnCd11, from the Alexandria database.

Computed properties:
Space group: No. 12
Formation energy, eV/atom: -0.09
Raw total energy, eV per atom: -1.415

Cell and atoms, written as POSCAR:
```
CeZnCd11
1.0
2.9597 -7.0072 0.0000
2.9597 7.0072 0.0000
-2.8758 0.0000 7.0072
Ce Zn Cd
1 1 11
Cartesian
0.0000 0.0000 0.0000 Ce
1.5218 0.0000 3.5036 Zn
-1.4379 0.0000 3.5036 Cd
1.4799 3.5036 0.0000 Cd
0.0603 2.4276 2.4810 Cd
0.1206 1.4787 5.4814 Cd
0.0603 -2.4276 2.4810 Cd
2.9230 1.4787 1.5258 Cd
1.4799 -3.5036 0.0000 Cd
0.1206 -1.4787 5.4814 Cd
2.9833 2.4276 4.5262 Cd
2.9230 -1.4787 1.5258 Cd
2.9833 -2.4276 4.5262 Cd
```



The following is a PBE calculation of an optimized crystal structure of BaLiLa2, from the Alexandria database.

Computed properties:
Space group: No. 10
ΔE to the lowest computed polymorph, meV/atom: 84.3
Formation energy, eV/atom: 0.18
Raw total energy, eV per atom: -3.246

Cell and atoms, written as POSCAR:
```
BaLiLa2
1.0
3.7475 0.0000 0.0000
0.0000 6.3132 0.0000
-0.8161 0.0000 6.3143
Ba Li La
1 1 2
Cartesian
0.0000 0.0000 0.0000 Ba
1.4657 0.0000 3.1572 Li
0.4196 3.1566 4.5339 La
2.5118 3.1566 1.7804 La
```